# 1
The following is a PBE-GGA calculation of BeCoMo2 after structural relaxation, from Alexandria.

Cell and atoms, written as CIF:
```
data_BeCoMo2
_symmetry_space_group_name_H-M 'I 4/m m m'
_symmetry_Int_Tables_number 139
_symmetry_space_group_name_Hall '-I 4 2'
_cell_length_a 3.6390
_cell_length_b 3.6390
_cell_length_c 7.7693
_cell_angle_alpha 90.00
_cell_angle_beta 90.00
_cell_angle_gamma 90.00
loop_
_atom_site_label
_atom_site_fract_x
_atom_site_fract_y
_atom_site_fract_z
Be1 0.0000 0.0000 0.0000
Co1 0.0000 0.0000 0.5000
Mo1 0.0000 0.5000 0.2500
```

Calculated values
- ΔH_f (0 K): 97 meV per atom


# 2
The following is a PBE-GGA calculation of Be2CoMo after structural relaxation, from Alexandria.

Cell and atoms, written as CIF:
```
data_Be2CoMo
_symmetry_space_group_name_H-M 'I -4 m 2'
_symmetry_Int_Tables_number 119
_symmetry_space_group_name_Hall 'I -4 -2'
_cell_length_a 3.5822
_cell_length_b 3.5822
_cell_length_c 6.7212
_cell_angle_alpha 90.00
_cell_angle_beta 90.00
_cell_angle_gamma 90.00
loop_
_atom_site_label
_atom_site_fract_x
_atom_site_fract_y
_atom_site_fract_z
Be1 0.0000 0.0000 0.0000
Be2 0.0000 0.5000 0.2500
Co1 0.0000 0.5000 0.7500
Mo1 0.0000 0.0000 0.5000
```

Calculated values
- ΔH_f (0 K): -22 meV per atom


# 3
The following is a PBE-GGA calculation of BeCoMo3 after structural relaxation, from Alexandria.

Cell and atoms, written as CIF:
```
data_BeCoMo3
_symmetry_space_group_name_H-M 'P m -3 m'
_symmetry_Int_Tables_number 221
_symmetry_space_group_name_Hall '-P 4 2 3'
_cell_length_a 4.4207
_cell_length_b 4.4207
_cell_length_c 4.4207
_cell_angle_alpha 90.00
_cell_angle_beta 90.00
_cell_angle_gamma 90.00
loop_
_atom_site_label
_atom_site_fract_x
_atom_site_fract_y
_atom_site_fract_z
Be1 0.0000 0.0000 0.0000
Co1 0.5000 0.5000 0.5000
Mo1 0.0000 0.5000 0.5000
```

Calculated values
- ΔH_f (0 K): 1401 meV per atom


# 4
The following is a PBE-GGA calculation of Be2CoMo after structural relaxation, from Alexandria.

Cell and atoms, written as CIF:
```
data_Be2CoMo
_symmetry_space_group_name_H-M 'R -3 m'
_symmetry_Int_Tables_number 166
_symmetry_space_group_name_Hall '-R 3 2"'
_cell_length_a 2.6170
_cell_length_b 2.6170
_cell_length_c 22.8683
_cell_angle_alpha 90.00
_cell_angle_beta 90.00
_cell_angle_gamma 120.00
loop_
_atom_site_label
_atom_site_fract_x
_atom_site_fract_y
_atom_site_fract_z
Be1 0.0000 0.0000 0.2412
Co1 0.0000 0.0000 0.5000
Mo1 0.0000 0.0000 0.0000
```

Calculated values
- ΔH_f (0 K): 219 meV per atom


# 5
The following is a PBE-GGA calculation of BeCoMo2 after structural relaxation, from Alexandria.

Cell and atoms, written as CIF:
```
data_BeCoMo2
_symmetry_space_group_name_H-M 'P 4 m m'
_symmetry_Int_Tables_number 99
_cell_length_a 3.1022
_cell_length_b 3.1022
_cell_length_c 5.4085
_cell_angle_alpha 90.00
_cell_angle_beta 90.00
_cell_angle_gamma 90.00
loop_
_symmetry_equiv_pos_as_xyz
'x,y,z'
'-y,x,z'
'-x,-y,z'
'y,-x,z'
'-x,y,z'
'y,x,z'
'x,-y,z'
'-y,-x,z'
loop_
_atom_site_label
_atom_site_fract_x
_atom_site_fract_y
_atom_site_fract_z
Be1 0.0000 0.0000 0.0000
Co1 0.5000 0.5000 0.2037
Mo1 0.0000 0.0000 0.4859
Mo2 0.5000 0.5000 0.7551
```

Calculated values
- ΔH_f (0 K): 113 meV per atom


# 6
The following is a PBE-GGA calculation of Be2CoMo after structural relaxation, from Alexandria.

Cell and atoms, written as CIF:
```
data_Be2CoMo
_symmetry_space_group_name_H-M 'P 4/m m m'
_symmetry_Int_Tables_number 123
_symmetry_space_group_name_Hall '-P 4 2'
_cell_length_a 3.5499
_cell_length_b 3.5499
_cell_length_c 3.4670
_cell_angle_alpha 90.00
_cell_angle_beta 90.00
_cell_angle_gamma 90.00
loop_
_atom_site_label
_atom_site_fract_x
_atom_site_fract_y
_atom_site_fract_z
Be1 0.0000 0.5000 0.0000
Co1 0.0000 0.0000 0.5000
Mo1 0.5000 0.5000 0.5000
```

Calculated values
- ΔH_f (0 K): 18 meV per atom


Question: Which formula does entry 2 have?
Answer: Be2CoMo